No. 1
## Ca2TeIr2 (PBE)

Data for Ca2TeIr2 after structural relaxation.

## Properties
The uncorrected formation energy comes out at -0.368 eV per atom. The density of states at the Fermi level is 5.9 states/eV per cell.

a = 7.097 Å, b = 7.097 Å, c = 4.459 Å
α = 90.00°, β = 90.00°, γ = 90.00°
Element x y z (fractional)
1 Te 0.000 0.000 0.000
2 Te 0.500 0.500 0.000
3 Ca 0.173 0.673 0.500
4 Ca 0.673 0.827 0.500
5 Ca 0.327 0.173 0.500
6 Ca 0.827 0.327 0.500
7 Ir 0.374 0.874 0.000
8 Ir 0.626 0.126 0.000
9 Ir 0.126 0.374 0.000
10 Ir 0.874 0.626 0.000

No. 2
## CaTeIr2 (PBE)

Data for CaTeIr2 after structural relaxation.

## Properties
The uncorrected formation energy comes out at 0.323 eV per atom. The density of states at the Fermi level is 6.7 states/eV per cell.

a = 4.780 Å, b = 4.780 Å, c = 4.780 Å
α = 60.00°, β = 60.00°, γ = 60.00°
Element x y z (fractional)
1 Ir 0.000 0.000 0.000
2 Ir 0.750 0.750 0.750
3 Te 0.250 0.250 0.250
4 Ca 0.500 0.500 0.500

No. 3
## Ca2TeIr (PBE)

Data for Ca2TeIr after structural relaxation.

## Properties
The uncorrected formation energy comes out at -0.640 eV per atom. The density of states at the Fermi level is 3.6 states/eV per cell.

a = 4.297 Å, b = 4.354 Å, c = 5.975 Å
α = 68.65°, β = 90.00°, γ = 90.00°
Element x y z (fractional)
1 Te 0.500 0.555 0.764
2 Ir 0.000 0.701 0.473
3 Ca 0.000 0.978 0.918
4 Ca 0.500 0.265 0.345

No. 4
## CaTeIr2 (PBE)

Data for CaTeIr2 after structural relaxation.

## Properties
The uncorrected formation energy comes out at 0.010 eV per atom. The density of states at the Fermi level is 1.5 states/eV per cell.

a = 4.993 Å, b = 4.993 Å, c = 4.993 Å
α = 128.56°, β = 128.48°, γ = 75.79°
Element x y z (fractional)
1 Ir 0.500 0.500 0.000
2 Ir 0.000 0.000 0.000
3 Te 0.750 0.250 0.500
4 Ca 0.250 0.750 0.500